Entry 1:
Below is an optimized crystal structure of TaNi2Te2Se, with properties calculated at the PBE level.

**Energy above the most stable polymorph in this dataset**: 16 meV/atom
**SG**: P2_1/m

Lattice parameters (Å, degrees): 7.5598 3.7267 10.1931 90.00 108.92 90.00
Fractional positions:
Ta: 0.2140 0.2500 0.2058
Ta: 0.7860 0.7500 0.7942
Ni: 0.0426 0.2500 0.9330
Ni: 0.4119 0.7500 0.4125
Ni: 0.5881 0.2500 0.5875
Ni: 0.9574 0.7500 0.0670
Te: 0.0488 0.7500 0.3343
Te: 0.2846 0.7500 0.0081
Te: 0.7154 0.2500 0.9919
Te: 0.9512 0.2500 0.6657
Se: 0.4435 0.7500 0.6571
Se: 0.5565 0.2500 0.3429

---

Entry 2:
Below is an optimized crystal structure of TaNi2TeSe2, with properties calculated at the PBE level.

**SG**: P2_1/m

Lattice parameters (Å, degrees): 7.5610 3.6924 10.0662 90.00 108.75 90.00
Fractional positions:
Ta: 0.2127 0.2500 0.2084
Ta: 0.7873 0.7500 0.7916
Ni: 0.0423 0.2500 0.9330
Ni: 0.4097 0.7500 0.4116
Ni: 0.5903 0.2500 0.5884
Ni: 0.9577 0.7500 0.0670
Te: 0.2849 0.7500 0.0033
Te: 0.7151 0.2500 0.9967
Se: 0.0695 0.7500 0.3240
Se: 0.4431 0.7500 0.6584
Se: 0.5569 0.2500 0.3416
Se: 0.9305 0.2500 0.6760

---

Entry 3:
Below is an optimized crystal structure of NiTeSe4, with properties calculated at the PBE level.

**SG**: P-1

Lattice parameters (Å, degrees): 3.7613 6.0422 6.6059 99.82 90.01 105.88
Fractional positions:
Ni: 0.0000 0.0000 0.0000
Te: 0.5000 0.0000 0.5000
Se: 0.1168 0.2685 0.3274
Se: 0.3964 0.7635 0.0883
Se: 0.6036 0.2365 0.9117
Se: 0.8832 0.7315 0.6726

---

Entry 4:
Below is an optimized crystal structure of Ni3Te4Se2, with properties calculated at the PBE level.

**SG**: C2/m

Lattice parameters (Å, degrees): 9.8247 9.8247 5.1748 92.36 92.36 22.51
Fractional positions:
Ni: 0.0000 0.0000 0.0000
Ni: 0.3401 0.3401 0.5253
Ni: 0.6599 0.6599 0.4747
Te: 0.2186 0.2186 0.7436
Te: 0.4526 0.4526 0.2752
Te: 0.5474 0.5474 0.7248
Te: 0.7814 0.7814 0.2564
Se: 0.1175 0.1175 0.2159
Se: 0.8825 0.8825 0.7841

---

| no. | energy (eV/atom) | size of the total moment (μB/atom) |
| --- | --- | --- |
| 1 | -5.8949 | 0.001 |
| 2 | -6.0350 | 0.001 |
| 3 | -3.8231 | 0.000 |
| 4 | -4.2593 | 0.001 |